Record 1
Crystalline Np4ScSb5 at its relaxed geometry, computed with PBE-GGA.

Unit cell a=4.301 b=6.170 c=11.604 alpha=105.42 beta=100.68 gamma=90.00
Element x y z (fractional)
Np: 0.401 0.401 0.802
Np: 0.803 0.803 0.606
Np: 0.197 0.197 0.394
Np: 0.599 0.599 0.198
Sc: 0.000 0.000 0.000
Sb: 0.594 0.094 0.189
Sb: 0.799 0.299 0.598
Sb: 0.201 0.701 0.402
Sb: 0.000 0.500 0.000
Sb: 0.406 0.906 0.811

Crystal system = orthorhombic
Formation energy (no corrections) = -0.31 eV per atom
Raw total energy = -8.1764 eV/atom

***

Record 2
Crystalline NpSc2Sb3 at its relaxed geometry, computed with PBE-GGA.

Unit cell a=9.428 b=9.428 c=9.428 alpha=153.84 beta=153.84 gamma=37.33
Element x y z (fractional)
Np: 0.000 0.000 0.000
Sc: 0.666 0.666 0.000
Sc: 0.334 0.334 0.000
Sb: 0.500 0.500 0.000
Sb: 0.829 0.829 0.000
Sb: 0.171 0.171 0.000

Crystal system = tetragonal
Formation energy (no corrections) = -0.66 eV per atom
Raw total energy = -6.9876 eV/atom

***

- The lowest formation energy (no corrections) belongs to which entry?
  NpSc2Sb3